VASP calculation (meta-GGA SCAN) on a crystal of Y3Si3Pd2 relaxed with PBEsol.

Geometry as CIF:
```
data_Y3Si3Pd2
_cell_length_a 4.213
_cell_length_b 10.339
_cell_length_c 13.945
_cell_angle_alpha 90.00
_cell_angle_beta 90.00
_cell_angle_gamma 90.00
_space_group_name_H-M_alt 'C m c m'
_space_group_IT_number 63
_space_group_name_Hall '-C 2c 2'
loop_
_atom_site_label
_atom_site_type_symbol
_atom_site_fract_x
_atom_site_fract_y
_atom_site_fract_z
_atom_site_occupancy
Y1 Y 0.000 0.085 0.111 1
Y2 Y 0.000 0.364 0.250 1
Si1 Si 0.000 0.340 0.750 1
Si2 Si 0.000 0.393 0.039 1
Pd1 Pd 0.000 0.207 0.594 1
```

Total moment ... 0.00 μB per formula unit
Raw total energy ... -187.54 eV per formula unit
Volume ... 607.4 Å³ per cell
Energy relative to the elements, uncorrected ... -1.052 eV per atom